Entry 1:
The following is a DFT calculation (GGA-PBE) of an optimized crystal structure of KZnP2.

Cell: 3.0054 3.0054 8.5501 Å, 90.00 90.00 90.00°
Closest atoms and distances in Å follow each position.
Fractional positions:
K (0.0000, 0.0000, 0.0000)  4 K 3.01, 8 P 3.30
Zn (0.0000, 0.0000, 0.5000)  8 P 2.75, 4 Zn 3.01
P (0.5000, 0.5000, 0.2955)  4 Zn 2.75, 4 P 3.01
P (0.5000, 0.5000, 0.7045)  4 Zn 2.75, 4 P 3.01

**VASP energy**: -0.1107 hartree per atom
**Magnetization**: 0.00 Bohr magnetons per cell
**Symmetry**: P4/mmm
**E_form**: 0.2861 eV per atom


Entry 2:
The following is a DFT calculation (GGA-PBE) of an optimized crystal structure of CoSiNiGe2.

Cell: 4.4702 4.4702 4.2772 Å, 90.00 90.00 90.00°
Closest atoms and distances in Å follow each position.
Fractional positions:
Co (0.0000, 0.0000, 0.0000)  2 Si 2.14, 4 Ge 2.24
Si (0.0000, 0.0000, 0.5000)  2 Co 2.14
Ni (0.5000, 0.5000, 0.5000)  8 Ge 3.09, 4 Si 3.16
Ge (0.0000, 0.5000, 0.0000)  2 Co 2.24
Ge (0.5000, 0.0000, 0.0000)  2 Co 2.24

**VASP energy**: -0.1851 hartree per atom
**Magnetization**: 0.00 Bohr magnetons per cell
**ΔE_f (raw)**: 0.47 eV per atom
**Symmetry**: P4/mmm


Entry 3:
The following is a DFT calculation (GGA-PBE) of an optimized crystal structure of RbTc2Bi2.

Cell: 9.0541 9.0541 3.3200 Å, 90.00 90.00 90.00°
Closest atoms and distances in Å follow each position.
Fractional positions:
Rb (0.0000, 0.0000, 0.0000)  2 Rb 3.32
Rb (0.5000, 0.5000, 0.0000)  2 Rb 3.32
Tc (0.0853, 0.4147, 0.0000)  1 Tc 2.18
Tc (0.4147, 0.9147, 0.0000)  1 Tc 2.18
Tc (0.5853, 0.0853, 0.0000)  1 Tc 2.18
Tc (0.9147, 0.5853, 0.0000)  1 Tc 2.18
Bi (0.1723, 0.6723, 0.5000)  4 Tc 2.97, 2 Bi 3.32
Bi (0.3277, 0.1723, 0.5000)  4 Tc 2.97, 2 Bi 3.32
Bi (0.6723, 0.8277, 0.5000)  4 Tc 2.97, 2 Bi 3.32
Bi (0.8277, 0.3277, 0.5000)  4 Tc 2.97, 2 Bi 3.32

**VASP energy**: -0.1956 hartree per atom
**Magnetization**: 1.59 Bohr magnetons per cell
**Symmetry**: P4/mbm
**E_form**: 0.5705 eV per atom


Entry 4:
The following is a DFT calculation (GGA-PBE) of an optimized crystal structure of Mg2GaBi.

Cell: 6.5450 6.5450 6.5450 Å, 39.60 39.60 39.60°
Closest atoms and distances in Å follow each position.
Fractional positions:
Mg (0.0000, 0.0000, 0.0000)  3 Ga 2.87, 3 Bi 3.13
Mg (0.1933, 0.1933, 0.1933)  3 Ga 2.84, 3 Bi 3.07
Ga (0.5944, 0.5944, 0.5944)  6 Mg 2.84-2.87, 1 Bi 2.92
Bi (0.4327, 0.4327, 0.4327)  1 Ga 2.92, 6 Mg 3.07-3.13

**VASP energy**: -0.0953 hartree per atom
**Magnetization**: 0.00 Bohr magnetons per cell
**Symmetry**: R3m
**E_form**: -0.0702 eV per atom